Record 1
Material: DyLu2Ge
Method: DFT, PBE
State: optimized geometry

a = 3.4761 Å, b = 3.4761 Å, c = 11.0296 Å
α = 80.93°, β = 80.93°, γ = 60.00°
With the nearest neighbours (Å) after each atom.
Positions (direct):
Ge 0.5000 0.5000 0.5000  6 Lu 2.86
Lu 0.8960 0.8960 0.3121  3 Ge 2.86
Lu 0.1040 0.1040 0.6879  3 Ge 2.86
Dy 0.0000 0.0000 0.0000  2 Lu 3.38, 6 Dy 3.48

Output
- ΔH_f (0 K) (meV per atom) = -22

=====

Record 2
Material: TeRuO2
Method: DFT, PBE
State: optimized geometry

a = 6.6197 Å, b = 6.6197 Å, c = 6.6197 Å
α = 28.29°, β = 28.29°, γ = 28.29°
With the nearest neighbours (Å) after each atom.
Positions (direct):
O 0.8831 0.8831 0.8831  3 Ru 2.09, 1 Te 2.23
Te 0.0000 0.0000 0.0000  2 O 2.23
Ru 0.5000 0.5000 0.5000  6 O 2.09
O 0.1169 0.1169 0.1169  3 Ru 2.09, 1 Te 2.23

Output
- uncorrected formation energy (eV per atom) = -0.393